First-principles (PBE) data for a relaxed TaCd2Ru crystal, as listed in the Alexandria database.

Output
The crystal system is trigonal. The polymorph energy (0 for the lowest one) is 381 meV/atom. The calculation puts the formation energy at 1.58 eV/f.u. The density of states at the Fermi level is 3.91 states/eV per cell.

Structure (POSCAR):
```
TaCd2Ru
1.0
1.456 0.841 9.823
-1.456 0.841 9.823
0.000 -1.681 9.823
Ta Cd Ru
1 2 1
direct
0.000 0.000 0.000
0.245 0.245 0.245
0.755 0.755 0.755
0.500 0.500 0.500
```